(1)
Below is a geometry-optimized CaCd5Au7 structure, with properties calculated at the PBE-GGA level.

Results
Its formation energy is -231 meV per atom. The calculation puts the density of states at the Fermi level at 8.3 states/eV per cell. The total energy comes out at -0.092 hartree per atom.

Cell and atoms, written as CIF:
```
data_CaCd5Au7
_symmetry_space_group_name_H-M 'I m m 2'
_symmetry_Int_Tables_number 44
_symmetry_space_group_name_Hall 'I 2 -2'
_cell_length_a 5.8275
_cell_length_b 10.1386
_cell_length_c 9.3421
_cell_angle_alpha 90.00
_cell_angle_beta 90.00
_cell_angle_gamma 90.00
loop_
_atom_site_label
_atom_site_type_symbol
_atom_site_fract_x
_atom_site_fract_y
_atom_site_fract_z
_atom_site_occupancy
Ca1 Ca 0.0000 0.0000 0.0000 1
Cd1 Cd 0.0000 0.5000 0.2270 1
Cd2 Cd 0.2502 0.2447 0.2445 1
Au1 Au 0.0000 0.0000 0.3393 1
Au2 Au 0.0000 0.0000 0.6623 1
Au3 Au 0.0000 0.3137 0.9964 1
Au4 Au 0.0000 0.3506 0.4923 1
Au5 Au 0.0000 0.5000 0.7641 1
```


(2)
Below is a geometry-optimized Ca6Cd5Au structure, with properties calculated at the PBE-GGA level.

Results
Its formation energy is -423 meV per atom. The calculation puts the density of states at the Fermi level at 8.4 states/eV per cell. The total energy comes out at -0.076 hartree per atom.

Cell and atoms, written as CIF:
```
data_Ca6Cd5Au
_symmetry_space_group_name_H-M 'P 1 2/m 1'
_symmetry_Int_Tables_number 10
_symmetry_space_group_name_Hall '-P 2y'
_cell_length_a 5.4196
_cell_length_b 7.4899
_cell_length_c 8.5587
_cell_angle_alpha 90.00
_cell_angle_beta 108.18
_cell_angle_gamma 90.00
loop_
_atom_site_label
_atom_site_type_symbol
_atom_site_fract_x
_atom_site_fract_y
_atom_site_fract_z
_atom_site_occupancy
Ca1 Ca 0.0000 0.2392 0.0000 1
Ca2 Ca 0.3403 0.2453 0.6783 1
Cd1 Cd 0.1667 0.5000 0.3364 1
Cd2 Cd 0.1735 0.0000 0.3493 1
Cd3 Cd 0.5000 0.5000 0.0000 1
Au1 Au 0.5000 0.0000 0.0000 1
```


(3)
Below is a geometry-optimized Ca2CdAu structure, with properties calculated at the PBE-GGA level.

Results
Its formation energy is -365 meV per atom. The calculation puts the density of states at the Fermi level at 16.9 states/eV per cell. The total energy comes out at -0.089 hartree per atom.

Cell and atoms, written as CIF:
```
data_Ca2CdAu
_symmetry_space_group_name_H-M 'F -4 3 m'
_symmetry_Int_Tables_number 216
_symmetry_space_group_name_Hall 'F -4 2 3'
_cell_length_a 7.2634
_cell_length_b 7.2634
_cell_length_c 7.2634
_cell_angle_alpha 90.00
_cell_angle_beta 90.00
_cell_angle_gamma 90.00
loop_
_atom_site_label
_atom_site_type_symbol
_atom_site_fract_x
_atom_site_fract_y
_atom_site_fract_z
_atom_site_occupancy
Ca1 Ca 0.0000 0.0000 0.0000 1
Ca2 Ca 0.2500 0.2500 0.2500 1
Cd1 Cd 0.0000 0.0000 0.5000 1
Au1 Au 0.2500 0.2500 0.7500 1
```


(4)
Below is a geometry-optimized Ca2CdAu7 structure, with properties calculated at the PBE-GGA level.

Results
Its formation energy is -17 meV per atom. Its distance to the lowest polymorph of the same formula is 431 meV/atom. The calculation puts the density of states at the Fermi level at 20.0 states/eV per cell. The total energy comes out at -0.103 hartree per atom.

Cell and atoms, written as CIF:
```
data_Ca2CdAu7
_symmetry_space_group_name_H-M 'F m -3 m'
_symmetry_Int_Tables_number 225
_symmetry_space_group_name_Hall '-F 4 2 3'
_cell_length_a 10.3465
_cell_length_b 10.3465
_cell_length_c 10.3465
_cell_angle_alpha 90.00
_cell_angle_beta 90.00
_cell_angle_gamma 90.00
loop_
_atom_site_label
_atom_site_type_symbol
_atom_site_fract_x
_atom_site_fract_y
_atom_site_fract_z
_atom_site_occupancy
Ca1 Ca 0.2500 0.2500 0.2500 1
Cd1 Cd 0.0000 0.0000 0.0000 1
Au1 Au 0.0000 0.0000 0.2501 1
Au2 Au 0.0000 0.0000 0.5000 1
```


(5)
Below is a geometry-optimized CaCdAu2 structure, with properties calculated at the PBE-GGA level.

Results
Its formation energy is -442 meV per atom. The calculation puts the density of states at the Fermi level at 1.5 states/eV per cell. The total energy comes out at -0.103 hartree per atom.

Cell and atoms, written as CIF:
```
data_CaCdAu2
_symmetry_space_group_name_H-M 'P 4 m m'
_symmetry_Int_Tables_number 99
_symmetry_space_group_name_Hall 'P 4 -2'
_cell_length_a 3.7788
_cell_length_b 3.7788
_cell_length_c 6.2360
_cell_angle_alpha 90.00
_cell_angle_beta 90.00
_cell_angle_gamma 90.00
loop_
_atom_site_label
_atom_site_type_symbol
_atom_site_fract_x
_atom_site_fract_y
_atom_site_fract_z
_atom_site_occupancy
Ca1 Ca 0.0000 0.0000 0.0000 1
Cd1 Cd 0.5000 0.5000 0.3169 1
Au1 Au 0.0000 0.0000 0.5048 1
Au2 Au 0.5000 0.5000 0.7782 1
```


(6)
Below is a geometry-optimized CaCd2Au structure, with properties calculated at the PBE-GGA level.

Results
Its formation energy is -275 meV per atom. The calculation puts the density of states at the Fermi level at 7.3 states/eV per cell. The total energy comes out at -0.075 hartree per atom.

Cell and atoms, written as CIF:
```
data_CaCd2Au
_symmetry_space_group_name_H-M 'I -4 2 d'
_symmetry_Int_Tables_number 122
_symmetry_space_group_name_Hall 'I -4 2bw'
_cell_length_a 8.4997
_cell_length_b 8.4997
_cell_length_c 5.8376
_cell_angle_alpha 90.00
_cell_angle_beta 90.00
_cell_angle_gamma 90.00
loop_
_atom_site_label
_atom_site_type_symbol
_atom_site_fract_x
_atom_site_fract_y
_atom_site_fract_z
_atom_site_occupancy
Ca1 Ca 0.0000 0.0000 0.0000 1
Cd1 Cd 0.2021 0.7500 0.6250 1
Au1 Au 0.0000 0.0000 0.5000 1
```


(7)
Below is a geometry-optimized CaCd4Au structure, with properties calculated at the PBE-GGA level.

Results
Its formation energy is -297 meV per atom. Its distance to the lowest polymorph of the same formula is 0 meV/atom. The calculation puts the density of states at the Fermi level at 4.9 states/eV per cell. The total energy comes out at -0.066 hartree per atom.

Cell and atoms, written as CIF:
```
data_CaCd4Au
_symmetry_space_group_name_H-M 'P m m a'
_symmetry_Int_Tables_number 51
_symmetry_space_group_name_Hall '-P 2a 2a'
_cell_length_a 8.6697
_cell_length_b 4.3614
_cell_length_c 7.6107
_cell_angle_alpha 90.00
_cell_angle_beta 90.00
_cell_angle_gamma 90.00
loop_
_atom_site_label
_atom_site_type_symbol
_atom_site_fract_x
_atom_site_fract_y
_atom_site_fract_z
_atom_site_occupancy
Ca1 Ca 0.2500 0.0000 0.1117 1
Cd1 Cd 0.0000 0.0000 0.5000 1
Cd2 Cd 0.0459 0.5000 0.8121 1
Cd3 Cd 0.2500 0.5000 0.4365 1
Au1 Au 0.2500 0.0000 0.7259 1
```


(8)
Below is a geometry-optimized Ca6CdAu5 structure, with properties calculated at the PBE-GGA level.

Results
Its formation energy is -705 meV per atom. The calculation puts the density of states at the Fermi level at 17.6 states/eV per cell. The total energy comes out at -0.116 hartree per atom.

Cell and atoms, written as CIF:
```
data_Ca6CdAu5
_symmetry_space_group_name_H-M 'C m m m'
_symmetry_Int_Tables_number 65
_symmetry_space_group_name_Hall '-C 2 2'
_cell_length_a 5.1642
_cell_length_b 15.5599
_cell_length_c 7.3772
_cell_angle_alpha 90.00
_cell_angle_beta 90.00
_cell_angle_gamma 90.00
loop_
_atom_site_label
_atom_site_type_symbol
_atom_site_fract_x
_atom_site_fract_y
_atom_site_fract_z
_atom_site_occupancy
Ca1 Ca 0.0000 0.0000 0.2391 1
Ca2 Ca 0.0000 0.3292 0.2477 1
Cd1 Cd 0.0000 0.5000 0.5000 1
Au1 Au 0.0000 0.1575 0.5000 1
Au2 Au 0.0000 0.1666 0.0000 1
Au3 Au 0.0000 0.5000 0.0000 1
```


(9)
Below is a geometry-optimized Ca2CdAu structure, with properties calculated at the PBE-GGA level.

Results
Its formation energy is -450 meV per atom. The calculation puts the density of states at the Fermi level at 2.1 states/eV per cell. The total energy comes out at -0.092 hartree per atom.

Cell and atoms, written as CIF:
```
data_Ca2CdAu
_symmetry_space_group_name_H-M 'C 1 2/m 1'
_symmetry_Int_Tables_number 12
_symmetry_space_group_name_Hall '-C 2y'
_cell_length_a 7.2829
_cell_length_b 4.1772
_cell_length_c 8.3778
_cell_angle_alpha 90.00
_cell_angle_beta 106.63
_cell_angle_gamma 90.00
loop_
_atom_site_label
_atom_site_type_symbol
_atom_site_fract_x
_atom_site_fract_y
_atom_site_fract_z
_atom_site_occupancy
Ca1 Ca 0.2386 0.0000 0.2156 1
Cd1 Cd 0.0000 0.0000 0.5000 1
Au1 Au 0.0000 0.5000 0.0000 1
```


(10)
Below is a geometry-optimized CaCd2Au4 structure, with properties calculated at the PBE-GGA level.

Results
Its formation energy is -451 meV per atom. The calculation puts the density of states at the Fermi level at 3.1 states/eV per cell. The total energy comes out at -0.106 hartree per atom.

Cell and atoms, written as CIF:
```
data_CaCd2Au4
_symmetry_space_group_name_H-M 'I 4/m m m'
_symmetry_Int_Tables_number 139
_symmetry_space_group_name_Hall '-I 4 2'
_cell_length_a 7.2355
_cell_length_b 7.2355
_cell_length_c 5.6126
_cell_angle_alpha 90.00
_cell_angle_beta 90.00
_cell_angle_gamma 90.00
loop_
_atom_site_label
_atom_site_type_symbol
_atom_site_fract_x
_atom_site_fract_y
_atom_site_fract_z
_atom_site_occupancy
Ca1 Ca 0.0000 0.0000 0.0000 1
Cd1 Cd 0.0000 0.5000 0.2500 1
Au1 Au 0.1969 0.1969 0.5000 1
```